Material: ScAl2Tc
Method: DFT, PBE
State: optimized geometry

```
4
Lattice="-1.1870 -3.0721 -0.2578 2.7693 -1.1839 1.3574 -2.5504 0.5113 5.6494" Properties=species:S:1:pos:R:3 pbc="T T T"
Sc -1.3494 0.2705 2.9889
Tc -1.1979 -1.7293 4.9558
Al -2.4923 0.4996 5.5206
Al 0.2459 -2.0187 1.7576
```

Calculated values
The calculated volume comes out at 67.87 Å³ per cell. As for the size of the total moment: 0.00 μB/atom. The calculation puts the polymorph energy (0 for the lowest one) at 0.0842 eV/atom.

Material: Ce2ThCo
Method: DFT, PBE
State: optimized geometry

```
4
Lattice="-0.1897 4.3458 -0.2216 -3.4096 2.1199 1.6885 1.5586 2.5353 5.5817" Properties=species:S:1:pos:R:3 pbc="T T T"
Co 0.0000 0.0000 0.0000
Ce -0.6545 2.2304 1.4957
Ce -1.3862 6.7707 5.5529
Th -1.0204 4.5005 3.5243
```

Calculated values
The calculated volume comes out at 95.36 Å³ per cell. As for the size of the total moment: 0.00 μB/atom. The calculation puts the polymorph energy (0 for the lowest one) at 0.4301 eV/atom.

Material: HgP2Ru
Method: DFT, PBE
State: optimized geometry

```
4
Lattice="-5.4028 0.1727 2.4670 -1.0502 -1.4004 5.6782 2.5525 3.3458 -4.1948" Properties=species:S:1:pos:R:3 pbc="T T T"
Hg -0.8621 0.6658 2.7780
P -6.0228 -1.1458 7.6023
P -3.6567 -0.6957 4.6156
Ru -3.0384 1.4523 1.1724
```

Calculated values
The calculated volume comes out at 72.80 Å³ per cell. Its raw total energy is -4.824 eV per atom. As for the size of the total moment: 0.00 μB/atom.

Material: AgRuCl6
Method: DFT, PBE
State: optimized geometry

```
8
Lattice="-2.2783 4.9426 3.1225 -4.7317 3.3370 -2.4256 -6.0882 -0.6405 2.8713" Properties=species:S:1:pos:R:3 pbc="T T T"
Ag -6.5491 3.8196 1.7841
Ru 0.0000 0.0000 0.0000
Cl -6.6504 1.1306 1.4617
Cl -6.7500 3.5836 4.4734
Cl -3.8595 3.6068 2.0483
Cl -6.3482 4.0556 -0.9052
Cl -6.4477 6.5086 2.1065
Cl -9.2386 4.0324 1.5199
```

Calculated values
The calculated volume comes out at 194.75 Å³ per cell. The uncorrected formation energy is -411 meV/atom. As for the size of the total moment: 0.38 μB/atom. The calculation puts the polymorph energy (0 for the lowest one) at 0.0068 eV/atom.

Material: Er3Tl2Ru
Method: DFT, PBE
State: optimized geometry

```
12
Lattice="7.7356 0.0000 -0.6301 3.8678 5.3068 -0.3150 1.9438 0.0000 7.7333" Properties=species:S:1:pos:R:3 pbc="T T T"
Er 7.5130 3.4165 5.5330
Er 2.9084 0.0000 1.0455
Er 6.0342 1.8902 1.2552
Er 9.9020 3.4165 0.9402
Er 3.6452 1.8902 5.8481
Er 6.7710 0.0000 6.0578
Tl 0.0000 0.0000 0.0000
Tl 4.8397 0.0000 3.5516
Tl 4.8397 3.8076 3.5516
Tl 8.7075 1.4992 3.2366
Ru 7.7356 3.0317 -0.6301
Ru 3.8678 2.2751 -0.3150
```

Calculated values
The calculated volume comes out at 323.96 Å³ per cell. As for the size of the total moment: 0.00 μB/atom. The calculation puts the polymorph energy (0 for the lowest one) at 0.1033 eV/atom.

Material: InCuSn2
Method: DFT, PBE
State: optimized geometry

```
4
Lattice="-1.8181 -2.6002 1.0800 1.5094 -2.8843 0.7970 0.9704 1.3418 10.0645" Properties=species:S:1:pos:R:3 pbc="T T T"
Sn 0.6416 0.3707 7.1729
Sn 0.0201 -4.5134 4.7686
Cu 0.3308 -2.0714 5.9708
In 0.0000 0.0000 0.0000
```

Calculated values
The calculated volume comes out at 97.42 Å³ per cell. As for the size of the total moment: 0.00 μB/atom. The calculation puts the polymorph energy (0 for the lowest one) at 0.0442 eV/atom.

Material: Tb2CrC2
Method: DFT, PBE
State: optimized geometry

```
10
Lattice="-1.1764 2.4553 4.3262 2.8005 -2.0760 4.9596 5.1573 3.5846 2.3878" Properties=species:S:1:pos:R:3 pbc="T T T"
Tb 1.8685 2.5032 5.1271
Tb 4.9128 1.4607 6.5466
Tb 3.0767 -0.5918 4.1923
Tb 3.7046 4.5556 7.4813
Cr 0.6266 1.0675 2.5843
Cr 6.1548 2.8964 9.0893
C 2.4274 1.3363 2.9215
C 4.3539 2.6275 8.7522
C 4.1182 3.5770 5.1294
C 2.6631 0.3868 6.5443
```

Calculated values
The calculated volume comes out at 162.88 Å³ per cell. Its raw total energy is -7.713 eV per atom. As for the size of the total moment: 0.00 μB/atom.

Material: TaHg2Pt
Method: DFT, PBE
State: optimized geometry

```
4
Lattice="-4.0485 -1.6048 -1.8642 -1.9429 -3.9966 1.6410 -4.0041 0.1759 2.5253" Properties=species:S:1:pos:R:3 pbc="T T T"
Hg 0.0000 0.0000 0.0000
Hg -2.4989 -1.3564 0.5755
Pt -4.9977 -2.7127 1.1510
Ta -7.4966 -4.0691 1.7266
```

Calculated values
The calculated volume comes out at 75.17 Å³ per cell. As for the size of the total moment: 0.00 μB/atom. The calculation puts the polymorph energy (0 for the lowest one) at 0.2881 eV/atom.

Material: ZrW
Method: DFT, PBE
State: optimized geometry

```
16
Lattice="6.7092 0.0000 0.0000 0.0000 4.7595 0.0000 0.0000 0.0000 9.5072" Properties=species:S:1:pos:R:3 pbc="T T T"
Zr 5.8037 1.1899 9.3607
Zr 2.4491 1.1899 4.9001
Zr 0.9055 3.5696 0.1465
Zr 4.2601 3.5696 4.6071
Zr 0.8356 1.1899 2.3797
Zr 4.1902 1.1899 2.3739
Zr 5.8736 3.5696 7.1275
Zr 2.5190 3.5696 7.1334
W 5.9629 1.1899 4.8953
W 2.6083 1.1899 9.3656
W 0.7463 3.5696 4.6119
W 4.1009 3.5696 0.1417
W 0.8669 1.1899 7.1745
W 4.2215 1.1899 7.0863
W 5.8423 3.5696 2.3327
W 2.4877 3.5696 2.4209
```

Calculated values
The calculated volume comes out at 303.59 Å³ per cell. Its raw total energy is -10.617 eV per atom. As for the size of the total moment: 0.00 μB/atom.

Material: ReSi6Tc2
Method: DFT, PBE
State: optimized geometry

```
9
Lattice="3.3370 -0.0039 -0.6781 -0.6590 6.3646 -3.2799 -0.3711 -0.6296 6.7341" Properties=species:S:1:pos:R:3 pbc="T T T"
Re 0.0000 0.0000 0.0000
Si 2.4833 0.1313 3.6769
Si 0.1514 2.4333 0.7310
Si -0.1765 5.5997 -0.9008
Si 1.4818 1.8013 -1.2683
Si 2.1555 3.2977 2.0451
Si 1.1962 4.5593 -2.6896
Tc 0.6064 1.5991 2.9811
Tc 1.7005 4.1319 -0.2051
```

Calculated values
The calculated volume comes out at 134.22 Å³ per cell. The uncorrected formation energy is -171 meV/atom. As for the size of the total moment: 0.00 μB/atom.

Material: K2AgBr
Method: DFT, PBE
State: optimized geometry

```
4
Lattice="-0.2283 3.8539 -4.3439 -5.7538 -0.7371 -0.3537 -0.5527 2.9954 2.6811" Properties=species:S:1:pos:R:3 pbc="T T T"
Ag -0.3905 3.4247 -0.8314
Br -3.1532 1.1292 1.1637
K 0.0000 0.0000 0.0000
K -2.9910 1.5584 -2.3488
```

Calculated values
The calculated volume comes out at 137.05 Å³ per cell. The uncorrected formation energy is -753 meV/atom. As for the size of the total moment: 0.00 μB/atom. The calculation puts the polymorph energy (0 for the lowest one) at 0.0396 eV/atom.

Material: CsRb8Au5
Method: DFT, PBE
State: optimized geometry

```
14
Lattice="-3.9509 -0.1247 3.1191 7.1057 -5.6907 8.7730 3.6798 12.6878 1.1043" Properties=species:S:1:pos:R:3 pbc="T T T"
Cs 5.2563 9.7803 7.0491
Rb 1.9455 5.1068 2.6686
Rb 4.8876 1.7656 10.3259
Rb 4.1047 1.5905 5.2630
Rb 2.7283 5.2854 7.7315
Rb 6.3211 -2.3949 7.9109
Rb 0.5148 9.2654 5.0870
Rb 7.4423 5.9389 9.6645
Rb -0.6048 0.9309 3.3354
Au 5.8050 3.6612 7.4994
Au 1.0281 3.2148 5.4950
Au 1.1506 8.4150 1.7940
Au 5.6849 -1.5452 11.2034
Au -0.2702 12.5622 4.2244
```

Calculated values
The calculated volume comes out at 808.07 Å³ per cell. Its raw total energy is -1.974 eV per atom. As for the size of the total moment: 0.00 μB/atom.

Material: K2CdIn4Pb3
Method: DFT, PBE
State: optimized geometry

```
10
Lattice="5.1615 0.0000 0.0000 0.0000 5.1615 0.0000 0.0000 0.0000 12.7274" Properties=species:S:1:pos:R:3 pbc="T T T"
K 2.5807 0.0000 3.2111
K 0.0000 2.5807 9.5163
Cd 2.5807 2.5807 6.3637
In 2.5807 2.5807 0.0000
In 0.0000 0.0000 0.0000
In 2.5807 0.0000 7.9973
In 0.0000 2.5807 4.7302
Pb 0.0000 0.0000 6.3637
Pb 2.5807 0.0000 10.9890
Pb 0.0000 2.5807 1.7385
```

Calculated values
The calculated volume comes out at 339.07 Å³ per cell. Its raw total energy is -2.607 eV per atom. As for the size of the total moment: 0.00 μB/atom.

Material: CaAcCuAu
Method: DFT, PBE
State: optimized geometry

```
4
Lattice="5.3063 0.0000 0.0000 2.6532 4.5954 0.0000 2.6532 1.5318 4.3326" Properties=species:S:1:pos:R:3 pbc="T T T"
Ac 0.0000 0.0000 0.0000
Au 7.9595 4.5954 3.2494
Ca 5.3063 3.0636 2.1663
Cu 2.6532 1.5318 1.0831
```

Calculated values
The calculated volume comes out at 105.65 Å³ per cell. As for the size of the total moment: 0.00 μB/atom. The calculation puts the polymorph energy (0 for the lowest one) at 0.0307 eV/atom.

Material: Pm2Ho8Mg
Method: DFT, PBE
State: optimized geometry

```
11
Lattice="-0.8966 -6.5939 0.0598 7.6070 -6.0939 -1.9790 6.6026 -5.8983 4.5314" Properties=species:S:1:pos:R:3 pbc="T T T"
Pm 11.0492 -13.5742 2.1124
Pm 2.2638 -5.0119 0.4998
Ho 7.8128 -8.4042 3.0571
Ho 5.0185 -10.0881 2.6766
Ho 10.5613 -10.2159 1.9363
Ho 2.7517 -8.3701 0.6760
Ho 8.2944 -8.4979 -0.0644
Ho 5.5001 -10.1819 -0.4449
Ho 7.7850 -11.9262 1.5593
Ho 5.5279 -6.6598 1.0529
Mg 0.0000 0.0000 0.0000
```

Calculated values
The calculated volume comes out at 348.40 Å³ per cell. As for the size of the total moment: 0.00 μB/atom. The calculation puts the polymorph energy (0 for the lowest one) at 0.0334 eV/atom.

Material: Zn2Ga2Tc
Method: DFT, PBE
State: optimized geometry

```
20
Lattice="-3.2186 3.8556 -1.4227 -3.1252 -0.9525 4.4891 8.0946 3.9121 6.4654" Properties=species:S:1:pos:R:3 pbc="T T T"
Zn -1.3124 2.0171 1.2024
Zn -2.9478 3.9369 0.5285
Zn 4.6985 2.8783 9.0033
Zn 3.0631 4.7981 8.3294
Zn 0.8165 4.5741 3.2576
Zn 2.4275 2.6468 3.9665
Zn -0.6768 4.1684 5.5654
Zn 0.9342 2.2411 6.2743
Ga -2.9446 1.4641 3.4088
Ga -4.5559 3.3913 2.7003
Ga 6.3066 3.4239 6.8316
Ga 4.6953 5.3511 6.1231
Ga -0.1274 2.1519 3.6010
Ga -0.3565 4.5004 0.9071
Ga 2.1072 2.3148 8.6248
Ga 1.8781 4.6633 5.9309
Tc -2.0198 3.9623 3.2007
Tc 3.7705 2.8529 6.3312
Tc -1.6703 1.6505 5.7217
Tc 3.4211 5.1647 3.8102
```

Calculated values
The calculated volume comes out at 300.78 Å³ per cell. As for the size of the total moment: 0.00 μB/atom. The calculation puts the polymorph energy (0 for the lowest one) at 0.0128 eV/atom.

Material: LaTl2Cl
Method: DFT, PBE
State: optimized geometry

```
4
Lattice="10.1530 -0.0156 -0.0092 9.4593 3.6883 -0.0092 9.4593 1.7714 3.2351" Properties=species:S:1:pos:R:3 pbc="T T T"
Tl 28.8544 5.4035 3.1926
Tl 14.7531 2.7628 1.6324
Cl 7.2679 1.3610 0.8042
La 21.8037 4.0831 2.4125
```

Calculated values
The calculated volume comes out at 121.95 Å³ per cell. The uncorrected formation energy is -340 meV/atom. As for the size of the total moment: 0.00 μB/atom. The calculation puts the polymorph energy (0 for the lowest one) at 0.4591 eV/atom.

Material: BaCd7Hg12
Method: DFT, PBE
State: optimized geometry

```
20
Lattice="9.4858 0.0000 0.0000 -3.1619 8.9433 0.0000 -3.1619 -4.4717 7.7451" Properties=species:S:1:pos:R:3 pbc="T T T"
Ba 0.0000 0.0000 0.0000
Cd 3.1619 -2.2358 3.8726
Cd 3.1619 4.4717 0.0000
Cd -3.1619 2.2358 3.8726
Cd -1.5810 -2.2358 3.8726
Cd 4.7429 0.0000 0.0000
Cd 1.5810 2.2358 3.8726
Cd -1.5810 4.4717 0.0000
Hg 0.7792 -0.5510 3.5544
Hg -0.2598 6.8912 0.9544
Hg 2.3827 5.0227 4.1907
Hg 3.4217 -2.4195 6.7908
Hg 2.9022 1.8526 1.3000
Hg 5.5447 5.5896 1.3000
Hg 0.2598 2.6191 6.4451
Hg -2.3827 -1.1179 6.4451
Hg 6.5837 -0.1996 2.2544
Hg -3.4217 4.6712 5.4907
Hg -0.7792 2.8027 2.2544
Hg 3.9412 1.6689 5.4907
```

Calculated values
The calculated volume comes out at 657.06 Å³ per cell. Its raw total energy is -0.574 eV per atom. As for the size of the total moment: 0.00 μB/atom.

Material: CdNi2Te
Method: DFT, PBE
State: optimized geometry

```
4
Lattice="-1.2043 -1.3037 -7.1068 -3.1340 -3.6499 -5.5239 -4.3001 -0.4527 -5.9128" Properties=species:S:1:pos:R:3 pbc="T T T"
Cd -6.4788 -4.0548 -13.9077
Ni -8.5984 -5.3813 -18.4577
Ni -4.3592 -2.7282 -9.3576
Te -2.1596 -1.3516 -4.6359
```

Calculated values
The calculated volume comes out at 71.67 Å³ per cell. The uncorrected formation energy is 183 meV/atom. As for the size of the total moment: 0.00 μB/atom. The calculation puts the polymorph energy (0 for the lowest one) at 0.1336 eV/atom.

Material: Nd8SiS3Cl4
Method: DFT, PBE
State: optimized geometry

```
16
Lattice="-1.4135 7.3443 -3.4873 -6.9639 0.8384 4.5885 7.1958 -1.4624 3.7673" Properties=species:S:1:pos:R:3 pbc="T T T"
Nd 1.6932 0.9410 6.1092
Nd -1.8587 1.6617 4.2529
Nd 1.3933 1.4111 2.4070
Nd 0.9963 4.5619 4.3898
Nd -2.1779 2.1585 0.4787
Nd -2.5749 5.3093 2.4615
Nd 0.6771 5.0587 0.6156
Nd -2.8748 5.7795 -1.2407
Si -3.4820 0.4192 2.2942
S -4.1887 4.0914 0.5506
S -0.5908 3.3602 2.4342
S 0.1159 -0.3120 4.1779
Cl -0.7068 3.6722 -1.7437
Cl 2.8912 2.9410 0.1400
Cl 0.0000 0.0000 0.0000
Cl 3.5979 -0.7312 1.8837
```

Calculated values
The calculated volume comes out at 406.75 Å³ per cell. The uncorrected formation energy is -1597 meV/atom. As for the size of the total moment: 0.00 μB/atom.